Below is an optimized crystal structure of DyRhPb, with properties calculated at the PBE level.

Lattice parameters (Å, degrees): 3.419 4.760 4.760 120.00 90.00 90.00
Positions (direct):
Pb (0.167, 0.333, 0.667)
Rh (0.166, 0.000, 0.000)
Dy (0.667, 0.667, 0.333)

Values from the calculation:
density	11.697	g/cm³
formation enthalpy at 0 K	-48.9	kJ/mol of atoms
uncorrected energy	-5.73	eV per atom
magnetic moment	0.00	μB per atom